Entry 1:
# U3Pb5S12

U3Pb5S12 after structural relaxation (PBE, Alexandria via LeMat-Bulk).

a = 14.115 Å, b = 14.115 Å, c = 14.115 Å
α = 109.47°, β = 109.47°, γ = 109.47°
Each line ends with the local moment (μB).
Sites, in units of the cell vectors:
U 0.625 0.375 0.750  2.05
U 0.750 0.875 0.625  2.05
U 0.875 0.750 0.125  2.05
U 0.375 0.750 0.625  2.05
U 0.625 0.250 0.375  2.05
U 0.375 0.625 0.250  2.05
U 0.250 0.125 0.375  2.05
U 0.125 0.875 0.750  2.05
U 0.875 0.125 0.250  2.05
U 0.125 0.250 0.875  2.05
U 0.750 0.375 0.125  2.05
U 0.250 0.625 0.875  2.05
S 0.145 0.732 0.565  -0.07
S 0.435 0.667 0.080  -0.07
S 0.420 0.065 0.333  -0.07
S 0.333 0.565 0.420  -0.07
S 0.935 0.580 0.167  -0.07
S 0.580 0.645 0.413  -0.07
S 0.833 0.920 0.065  -0.07
S 0.268 0.855 0.935  -0.07
S 0.268 0.413 0.833  -0.07
S 0.435 0.768 0.855  -0.07
S 0.667 0.435 0.580  -0.07
S 0.768 0.435 0.355  -0.07
S 0.232 0.667 0.087  -0.07
S 0.080 0.167 0.435  -0.07
S 0.667 0.232 0.587  -0.07
S 0.355 0.420 0.087  -0.07
S 0.913 0.833 0.768  -0.07
S 0.065 0.645 0.732  -0.07
S 0.833 0.913 0.268  -0.07
S 0.167 0.087 0.732  -0.07
S 0.167 0.080 0.935  -0.07
S 0.333 0.768 0.413  -0.07
S 0.768 0.333 0.913  -0.07
S 0.913 0.080 0.645  -0.07
S 0.087 0.167 0.232  -0.07
S 0.732 0.145 0.065  -0.07
S 0.565 0.333 0.920  -0.07
S 0.145 0.413 0.080  -0.07
S 0.855 0.587 0.920  -0.07
S 0.232 0.565 0.645  -0.07
S 0.087 0.920 0.355  -0.07
S 0.645 0.065 0.232  -0.07
S 0.580 0.935 0.667  -0.07
S 0.355 0.935 0.768  -0.07
S 0.420 0.355 0.587  -0.07
S 0.920 0.087 0.855  -0.07
S 0.413 0.145 0.580  -0.07
S 0.587 0.855 0.420  -0.07
S 0.587 0.732 0.667  -0.07
S 0.645 0.580 0.913  -0.07
S 0.065 0.420 0.833  -0.07
S 0.565 0.232 0.145  -0.07
S 0.080 0.913 0.145  -0.07
S 0.935 0.355 0.268  -0.07
S 0.413 0.268 0.333  -0.07
S 0.732 0.587 0.167  -0.07
S 0.920 0.833 0.565  -0.07
S 0.855 0.268 0.435  -0.07
Pb 0.125 0.750 0.375  -0.02
Pb 0.000 0.500 0.500  0.00
Pb 0.375 0.250 0.125  -0.02
Pb 0.000 0.000 0.000  0.00
Pb 0.625 0.875 0.250  -0.02
Pb 0.000 0.000 0.500  0.00
Pb 0.875 0.625 0.750  -0.02
Pb 0.750 0.125 0.875  -0.02
Pb 0.500 0.000 0.000  0.00
Pb 0.500 0.000 0.500  0.00
Pb 0.125 0.375 0.250  -0.02
Pb 0.625 0.750 0.875  -0.02
Pb 0.750 0.625 0.375  -0.02
Pb 0.250 0.875 0.125  -0.02
Pb 0.875 0.250 0.625  -0.02
Pb 0.375 0.125 0.750  -0.02
Pb 0.500 0.500 0.000  0.00
Pb 0.250 0.375 0.625  -0.02
Pb 0.500 0.500 0.500  0.00
Pb 0.000 0.500 0.000  0.00

Calculated values
Formation energy without anion corrections: -12.4 eV per formula unit



Entry 2:
# CoTcRu2

CoTcRu2 after structural relaxation (PBE, Alexandria via LeMat-Bulk).

a = 5.211 Å, b = 5.211 Å, c = 5.211 Å
α = 149.24°, β = 130.93°, γ = 59.04°
Each line ends with the local moment (μB).
Sites, in units of the cell vectors:
Ru 0.027 0.027 0.000  0.09
Ru 0.754 0.254 0.500  0.12
Co 0.249 0.749 0.500  1.10
Tc 0.470 0.470 0.000  0.05

Calculated values
Formation energy from the elements: 119 kJ/mol of formula units



Entry 3:
# La3Sm2ThSe6

La3Sm2ThSe6 after structural relaxation (PBE, Alexandria via LeMat-Bulk).

a = 4.247 Å, b = 8.500 Å, c = 9.494 Å
α = 102.91°, β = 102.93°, γ = 90.00°
Sites, in units of the cell vectors:
Se 0.670 0.578 0.340
Se 0.330 0.422 0.660
Se 0.666 0.090 0.333
Se 0.334 0.910 0.667
Se 0.997 0.752 0.995
Se 0.003 0.248 0.005
La 0.165 0.833 0.330
La 0.500 0.500 0.000
La 0.835 0.167 0.670
Sm 0.165 0.331 0.331
Sm 0.835 0.669 0.669
Th 0.500 0.000 0.000

Calculated values
Formation energy without anion corrections: -22.3 eV per formula unit



Entry 4:
# Ac2Cd10Ag

Ac2Cd10Ag after structural relaxation (PBE, Alexandria via LeMat-Bulk).

a = 6.239 Å, b = 12.036 Å, c = 10.502 Å
α = 90.00°, β = 90.00°, γ = 90.00°
Sites, in units of the cell vectors:
Cd 0.000 0.613 0.958
Cd 0.269 0.684 0.425
Cd 0.000 0.194 0.819
Cd 0.000 0.806 0.181
Cd 0.731 0.816 0.925
Cd 0.000 0.306 0.319
Cd 0.269 0.184 0.075
Cd 0.731 0.184 0.075
Cd 0.269 0.316 0.575
Cd 0.000 0.694 0.681
Cd 0.731 0.684 0.425
Cd 0.000 0.550 0.242
Cd 0.000 0.950 0.742
Cd 0.000 0.050 0.258
Cd 0.000 0.450 0.758
Cd 0.269 0.816 0.925
Cd 0.000 0.387 0.042
Cd 0.000 0.113 0.542
Cd 0.731 0.316 0.575
Cd 0.000 0.887 0.458
Ac 0.500 0.128 0.367
Ac 0.500 0.628 0.133
Ac 0.500 0.372 0.867
Ac 0.500 0.872 0.633
Ag 0.000 0.000 0.000
Ag 0.000 0.500 0.500

Calculated values
Formation energy from the elements: 30 kJ/mol of formula units



Entry 5:
# La3Te3N

La3Te3N after structural relaxation (PBE, Alexandria via LeMat-Bulk).

a = 7.900 Å, b = 7.900 Å, c = 7.937 Å
α = 97.15°, β = 97.15°, γ = 112.04°
Sites, in units of the cell vectors:
La 0.102 0.102 0.837
La 0.561 0.849 0.720
La 0.439 0.151 0.280
La 0.849 0.561 0.720
La 0.151 0.439 0.280
La 0.898 0.898 0.163
Te 0.836 0.164 0.500
Te 0.612 0.612 0.348
Te 0.164 0.836 0.500
Te 0.252 0.748 0.000
Te 0.388 0.388 0.652
Te 0.748 0.252 0.000
N 0.831 0.831 0.849
N 0.169 0.169 0.151

Calculated values
Formation energy without anion corrections: -11.4 eV per formula unit



Entry 6:
# U2Ga8Ru

U2Ga8Ru after structural relaxation (PBE, Alexandria via LeMat-Bulk).

a = 4.315 Å, b = 4.315 Å, c = 11.038 Å
α = 90.00°, β = 90.00°, γ = 90.00°
Each line ends with the local moment (μB).
Sites, in units of the cell vectors:
Ru 0.000 0.000 0.000  -0.12
Ga 0.500 0.500 0.692  0.01
Ga 0.000 0.500 0.877  0.00
Ga 0.500 0.000 0.123  0.00
Ga 0.500 0.500 0.308  0.01
Ga 0.000 0.500 0.500  0.02
Ga 0.500 0.000 0.500  0.02
Ga 0.000 0.500 0.123  0.00
Ga 0.500 0.000 0.877  0.00
U 0.000 0.000 0.308  1.79
U 0.000 0.000 0.692  1.79

Calculated values
Formation energy from the elements: -323 kJ/mol of formula units



Entry 7:
# Th2GaNi3Ge4

Th2GaNi3Ge4 after structural relaxation (PBE, Alexandria via LeMat-Bulk).

a = 4.205 Å, b = 4.205 Å, c = 9.926 Å
α = 90.00°, β = 90.00°, γ = 90.00°
Sites, in units of the cell vectors:
Ni 0.000 0.500 0.121
Ni 0.500 0.000 0.879
Ni 0.000 0.000 0.500
Th 0.500 0.000 0.242
Th 0.000 0.500 0.758
Ge 0.000 0.500 0.358
Ge 0.500 0.500 0.000
Ge 0.000 0.000 0.000
Ge 0.500 0.000 0.642
Ga 0.500 0.500 0.500

Calculated values
Formation energy from the elements: -628 kJ/mol of formula units



Entry 8:
# MnNb2Pd6

MnNb2Pd6 after structural relaxation (PBE, Alexandria via LeMat-Bulk).

a = 2.799 Å, b = 7.508 Å, c = 8.332 Å
α = 116.78°, β = 109.60°, γ = 90.00°
Each line ends with the local moment (μB).
Sites, in units of the cell vectors:
Nb 0.867 0.683 0.366  -0.16
Nb 0.133 0.317 0.634  -0.16
Pd 0.500 0.682 0.000  0.08
Pd 0.320 0.341 0.320  0.03
Pd 0.500 0.318 0.000  0.08
Pd 0.320 0.979 0.320  0.03
Pd 0.680 0.021 0.680  0.03
Pd 0.680 0.659 0.680  0.03
Mn 0.000 0.000 0.000  3.72

Calculated values
Formation energy from the elements: -173 kJ/mol of formula units